Below is a relaxed structure of RbZnI2, with properties calculated at the PBE level.

a b c (Å): 8.4518 8.4518 8.4518
angles (deg): 90.00 90.00 90.00
Closest atoms and distances in Å follow each position.
Space group Fm-3m (No. 225)
Asymmetric unit:
Rb: 0.0000 0.0000 0.0000 x4  8 I 3.66
Zn: 0.0000 0.0000 0.5000 x4  8 I 3.66
I: 0.2500 0.2500 0.2500 x8  4 Rb 3.66, 4 Zn 3.66

Output
Energy above the most stable polymorph in this dataset, eV/atom: 0.1939
Uncorrected formation energy, kJ/mol of formula units: -192
Volume, Å³ per atom: 37.7
Total DFT energy (no corrections), eV for the cell shown: -29.3
Fermi-level density of states, states/eV/atom: 0.812